The following is a DFT calculation (PBE-GGA) of an optimized crystal structure of LiZn4Ga5.

Cell: 4.2138 6.1621 7.2853 Å, 104.27 106.81 90.00°
Closest atoms and distances in Å follow each position.
Sites, in units of the cell vectors:
Ga 0.5000 0.5000 0.0000  4 Zn 2.59
Ga 0.1376 0.1998 0.2751  5 Zn 2.72-2.97, 3 Ga 2.75-2.78, 2 Li 2.90
Ga 0.7676 0.3502 0.5352  5 Ga 2.75-2.92, 4 Zn 2.76-2.81
Ga 0.2324 0.6498 0.4647  5 Ga 2.75-2.92, 4 Zn 2.76-2.81
Ga 0.8624 0.8002 0.7249  5 Zn 2.72-2.97, 3 Ga 2.75-2.78, 2 Li 2.90
Zn 0.0500 0.7480 0.1000  5 Ga 2.59-2.76, 2 Zn 2.73, 2 Li 2.81
Zn 0.6743 0.8906 0.3485  1 Li 2.68, 2 Zn 2.73, 7 Ga 2.80-2.97
Zn 0.9500 0.2520 0.8999  5 Ga 2.59-2.76, 2 Zn 2.73, 2 Li 2.81
Zn 0.3257 0.1094 0.6515  1 Li 2.68, 2 Zn 2.73, 7 Ga 2.80-2.97
Li 0.5000 0.0000 0.0000  6 Zn 2.68-2.81, 4 Ga 2.90

Values from the calculation:
E above lowest polymorph	0.0	meV/atom
calculated volume	17.50	Å³ per atom
SG	C2/m, No. 12
E	-22.26	eV for the cell shown